6
Lattice="-0.808 3.049 0.125 -2.401 -0.715 1.920 7.890 1.661 10.488" Properties=species:S:1:pos:R:3 comment="Zr4CdAg PBE-GGA optimized geometry" crystal_system=tetragonal e_above_lowest_polymorph_ev_per_atom=0.000 volume_a3_per_cell=132 total_energy_ev_per_cell=-38.58 sg="P4/mmm, No. 123" pbc="T T T"
Cd 0.000 0.000 0.000
Zr -0.228 1.457 2.852
Zr 5.186 1.092 6.894
Zr 2.704 0.569 3.594
Ag 2.341 1.998 6.266
Zr 4.910 2.538 9.681



18
Lattice="-0.904 3.580 -3.722 -5.470 5.125 4.817 4.617 6.609 3.794" Properties=species:S:1:pos:R:3 comment="Zr4Cd3Ag2 PBE-GGA optimized geometry" crystal_system=monoclinic volume_a3_per_cell=388 total_energy_ev_per_cell=-84.41 sg="C2/c, No. 15" pbc="T T T"
Zr -4.900 7.877 3.441
Cd -2.043 3.452 -0.029
Ag -1.921 7.515 4.599
Zr -2.333 10.334 4.081
Cd 0.285 11.862 4.917
Ag 0.164 7.799 0.290
Cd -2.232 9.636 7.080
Zr -4.332 4.481 4.113
Zr 3.142 7.437 1.448
Ag 0.111 9.671 2.485
Zr -2.253 6.420 -0.812
Cd 0.639 6.952 3.244
Cd -2.396 8.362 1.645
Zr 2.574 10.833 0.776
Cd 0.474 5.679 -2.191
Zr 0.496 8.894 5.701
Zr 0.575 4.980 0.808
Ag -1.869 5.644 2.403



10
Lattice="-0.851 -6.369 3.125 5.764 1.213 4.044 -2.486 1.805 3.001" Properties=species:S:1:pos:R:3 comment="Zr2Cd2Ag PBE-GGA optimized geometry" crystal_system=tetragonal e_above_lowest_polymorph_ev_per_atom=0.054 volume_a3_per_cell=219 total_energy_ev_per_cell=-42.69 sg="P4/mbm, No. 127" pbc="T T T"
Ag 2.456 -2.578 3.584
Cd 4.659 -1.258 4.615
Cd 0.254 -3.898 2.554
Zr -0.019 -4.013 5.470
Ag 0.000 0.000 0.000
Zr -0.582 -1.037 3.214
Cd 1.967 -0.442 1.895
Zr 3.009 -2.314 6.956
Cd 2.946 -4.713 5.274
Zr 2.446 0.662 4.700



5
Lattice="-1.988 1.734 2.029 -2.705 0.961 -3.473 -1.908 -7.961 2.206" Properties=species:S:1:pos:R:3 comment="Ce3Ag2 PBE-GGA optimized geometry" crystal_system=orthorhombic volume_a3_per_cell=120 total_energy_ev_per_cell=-23.54 sg="Immm, No. 71" pbc="T T T"
Ag -3.434 -5.338 1.198
Ce 0.000 0.000 0.000
Ce -4.871 -2.577 0.158
Ag -3.167 0.072 -0.436
Ce -1.730 -2.689 0.603



4
Lattice="5.000 0.000 0.000 0.000 5.000 0.000 -2.500 -2.500 3.555" Properties=species:S:1:pos:R:3 comment="CeAg3 PBE-GGA optimized geometry" crystal_system=tetragonal e_above_lowest_polymorph_ev_per_atom=0.054 volume_a3_per_cell=89 total_energy_ev_per_cell=-14.74 sg="I4/mmm, No. 139" pbc="T T T"
Ag 0.000 2.500 1.777
Ag 2.500 2.500 0.000
Ce 0.000 0.000 0.000
Ag 2.500 0.000 1.777



4
Lattice="5.496 0.000 0.000 0.000 3.229 0.000 0.000 0.000 5.496" Properties=species:S:1:pos:R:3 comment="Ce3Ag PBE-GGA optimized geometry" crystal_system=tetragonal e_above_lowest_polymorph_ev_per_atom=0.000 volume_a3_per_cell=98 total_energy_ev_per_cell=-20.76 sg="P4/mmm, No. 123" pbc="T T T"
Ce 0.000 0.268 2.748
Ce 2.748 0.270 0.000
Ag 0.000 1.884 0.000
Ce 2.748 1.883 2.748



4
Lattice="-1.796 1.999 -2.331 -2.905 -3.756 -0.983 -2.822 0.739 5.521" Properties=species:S:1:pos:R:3 comment="CeAg PBE-GGA optimized geometry" crystal_system=orthorhombic volume_a3_per_cell=103 total_energy_ev_per_cell=-17.74 sg="Cmcm, No. 63" pbc="T T T"
Ce -1.886 -0.397 1.112
Ce -5.637 -0.621 1.095
Ag -3.593 -1.576 -1.298
Ag -3.930 0.558 3.506



8
Lattice="6.533 -0.002 0.000 -3.263 5.660 0.000 0.000 0.000 4.888" Properties=species:S:1:pos:R:3 comment="CeAg3 PBE-GGA optimized geometry" crystal_system=hexagonal e_above_lowest_polymorph_ev_per_atom=0.058 volume_a3_per_cell=181 total_energy_ev_per_cell=-29.45 sg="P6_3/mmc, No. 194" pbc="T T T"
Ag 1.799 4.809 1.222
Ce 3.267 1.885 1.222
Ag 5.063 0.848 3.666
Ag -1.792 4.810 1.222
Ag 0.001 1.698 1.222
Ce 0.003 3.772 3.666
Ag 3.270 3.959 3.666
Ag 1.471 0.848 3.666



3
Lattice="3.192 0.000 0.000 0.000 4.944 0.000 0.000 -2.472 4.281" Properties=species:S:1:pos:R:3 comment="CeAg2 PBE-GGA optimized geometry" crystal_system=hexagonal volume_a3_per_cell=68 total_energy_ev_per_cell=-12.12 sg="P6/mmm, No. 191" pbc="T T T"
Ce 1.596 0.000 0.000
Ag 0.000 2.472 1.427
Ag 0.000 0.000 2.854



4
Lattice="-3.333 -0.236 -3.176 0.731 -4.532 -0.430 -1.928 1.536 5.255" Properties=species:S:1:pos:R:3 comment="Ce3Ag PBE-GGA optimized geometry" crystal_system=tetragonal e_above_lowest_polymorph_ev_per_atom=0.102 volume_a3_per_cell=102 total_energy_ev_per_cell=-20.35 sg="I4/mmm, No. 139" pbc="T T T"
Ag 0.000 0.000 0.000
Ce -1.249 -2.690 1.511
Ce -3.281 -0.542 0.138
Ce -1.301 -2.384 -1.803



14
Lattice="4.542 0.000 1.273 1.460 7.790 3.529 0.019 -0.276 8.672" Properties=species:S:1:pos:R:3 comment="Ce3Ag11 PBE-GGA optimized geometry" crystal_system=orthorhombic volume_a3_per_cell=311 total_energy_ev_per_cell=-50.26 sg="Immm, No. 71" pbc="T T T"
Ag 2.740 2.243 7.702
Ce 2.396 5.264 8.929
Ag 1.447 4.575 3.575
Ce 0.000 0.000 0.000
Ag 1.547 0.136 3.221
Ag 3.281 5.271 5.772
Ag 4.573 2.938 9.898
Ce 3.625 2.249 4.544
Ag 4.067 5.096 11.707
Ag 4.474 7.378 10.253
Ag 1.954 2.418 1.766
Ag 0.813 1.023 5.840
Ag 0.740 3.757 6.100
Ag 5.208 6.491 7.634



6
Lattice="-1.247 2.010 2.208 -2.834 -4.153 2.180 7.885 0.387 4.099" Properties=species:S:1:pos:R:3 comment="Ce5Ag PBE-GGA optimized geometry" crystal_system=orthorhombic e_above_lowest_polymorph_ev_per_atom=0.000 volume_a3_per_cell=150 total_energy_ev_per_cell=-32.35 sg="Cmmm, No. 65" pbc="T T T"
Ag 0.000 0.000 0.000
Ce -2.041 -1.072 2.194
Ce 2.304 -2.207 5.680
Ce 0.598 -2.603 2.707
Ce 4.453 -1.163 3.573
Ce 1.499 0.450 2.807



Number 1: energy of formation from the pure elements -0.103 eV per atom. Number 2: energy of formation from the pure elements 0.049 eV per atom. Number 3: energy of formation from the pure elements 0.086 eV per atom. Number 4: energy of formation from the pure elements -0.008 eV per atom. Number 5: energy of formation from the pure elements -0.062 eV per atom. Number 6: energy of formation from the pure elements -0.027 eV per atom. Number 7: energy of formation from the pure elements -0.042 eV per atom. Number 8: energy of formation from the pure elements -0.059 eV per atom. Number 9: energy of formation from the pure elements -0.162 eV per atom. Number 10: energy of formation from the pure elements 0.075 eV per atom. Number 11: energy of formation from the pure elements -0.078 eV per atom. Number 12: energy of formation from the pure elements 0.028 eV per atom.